[1]
{"formula": "NdTcN2", "functional": "GGA-PBE", "state": "relaxed", "volume_a3_per_cell": 51.53, "de_polymorph_ev_per_fu": 0.76, "e_tot_ev_per_atom": -8.4574, "e_form_raw_ev_per_atom": -0.51, "total_magnetization_mub_per_fu": 1.72, "density_g_cm3": 8.7, "crystal_system": "trigonal", "lattice": [[-1.061, -2.296, 2.253], [0.312, -3.305, -0.675], [4.444, -1.874, 2.729]], "species": ["N", "Nd", "Tc", "N"], "fractional_positions": [[0.734, 0.734, 0.798], [0.500, 0.500, 0.500], [0.000, 0.000, 0.000], [0.266, 0.266, 0.202]]}

---

[2]
{"formula": "Nd3TcN4", "functional": "GGA-PBE", "state": "relaxed", "volume_a3_per_cell": 283.44, "e_tot_ev_per_atom": -8.0753, "e_form_raw_ev_per_atom": -0.83, "total_magnetization_mub_per_fu": 0.71, "density_g_cm3": 6.9, "crystal_system": "orthorhombic", "lattice": [[5.276, 0.000, 0.000], [0.000, 6.894, 0.000], [0.000, 0.000, 7.792]], "species": ["N", "N", "Nd", "N", "Tc", "N", "Nd", "N", "Nd", "N", "Nd", "N", "Tc", "N", "Nd", "Nd"], "fractional_positions": [[0.135, 0.809, 0.500], [0.554, 0.691, 0.274], [0.064, 0.137, 0.500], [0.054, 0.309, 0.774], [0.525, 0.822, 0.500], [0.555, 0.105, 0.500], [0.564, 0.863, 0.000], [0.554, 0.691, 0.726], [0.064, 0.667, 0.244], [0.055, 0.895, 0.000], [0.564, 0.333, 0.744], [0.054, 0.309, 0.226], [0.025, 0.178, 0.000], [0.635, 0.191, 0.000], [0.564, 0.333, 0.256], [0.064, 0.667, 0.756]]}

---

[3]
{"formula": "Nd3TcN6", "functional": "GGA-PBE", "state": "relaxed", "volume_a3_per_cell": 327.38, "e_tot_ev_per_atom": -8.1191, "e_form_raw_ev_per_atom": -0.66, "total_magnetization_mub_per_fu": 0.50, "density_g_cm3": 6.2, "crystal_system": "orthorhombic", "lattice": [[-5.402, 0.542, 0.097], [-0.452, -5.515, 5.597], [0.743, 6.678, 4.099]], "species": ["Nd", "N", "N", "Tc", "N", "N", "Nd", "N", "Tc", "Nd", "Nd", "Nd", "Nd", "N", "N", "N", "N", "N", "N", "N"], "fractional_positions": [[0.973, 0.700, 0.915], [0.640, 0.943, 0.057], [0.164, 0.407, 0.889], [0.021, 0.196, 0.804], [0.664, 0.593, 0.111], [0.185, 0.794, 0.206], [0.473, 0.915, 0.700], [0.664, 0.889, 0.407], [0.521, 0.804, 0.196], [0.973, 0.085, 0.300], [0.473, 0.300, 0.085], [0.941, 0.607, 0.393], [0.441, 0.393, 0.607], [0.140, 0.057, 0.943], [0.711, 0.651, 0.667], [0.211, 0.667, 0.651], [0.164, 0.111, 0.593], [0.711, 0.333, 0.349], [0.211, 0.349, 0.333], [0.685, 0.206, 0.794]]}

---

[4]
{"formula": "Nd2Tc2N5", "functional": "GGA-PBE", "state": "relaxed", "volume_a3_per_cell": 127.01, "de_polymorph_ev_per_fu": 1.02, "e_tot_ev_per_atom": -8.5123, "e_form_raw_ev_per_atom": -0.52, "total_magnetization_mub_per_fu": 0.00, "density_g_cm3": 7.2, "crystal_system": "monoclinic", "lattice": [[-3.375, 0.994, 1.968], [1.071, -5.822, 0.648], [3.212, 2.796, 4.097]], "species": ["N", "N", "N", "Tc", "Nd", "N", "Tc", "N", "Nd"], "fractional_positions": [[0.844, 0.688, 0.443], [0.322, 0.644, 0.061], [0.678, 0.356, 0.939], [0.860, 0.719, 0.137], [0.615, 0.230, 0.309], [0.000, 0.000, 0.000], [0.140, 0.281, 0.863], [0.156, 0.312, 0.557], [0.385, 0.770, 0.691]]}

---

[5]
{"formula": "NdTcN2", "functional": "GGA-PBE", "state": "relaxed", "volume_a3_per_cell": 207.94, "de_polymorph_ev_per_fu": 0.00, "e_tot_ev_per_atom": -8.6472, "e_form_raw_ev_per_atom": -0.70, "total_magnetization_mub_per_fu": 0.00, "density_g_cm3": 8.6, "crystal_system": "orthorhombic", "lattice": [[3.278, 0.000, 0.000], [0.000, 5.832, 0.000], [0.000, 0.000, 10.879]], "species": ["Tc", "Tc", "Nd", "N", "N", "N", "Nd", "N", "Nd", "Nd", "N", "N", "Tc", "N", "N", "Tc"], "fractional_positions": [[0.250, 0.060, 0.405], [0.750, 0.940, 0.595], [0.750, 0.078, 0.146], [0.250, 0.332, 0.251], [0.750, 0.668, 0.749], [0.750, 0.168, 0.751], [0.250, 0.422, 0.646], [0.750, 0.234, 0.491], [0.250, 0.922, 0.854], [0.750, 0.578, 0.354], [0.250, 0.766, 0.509], [0.250, 0.832, 0.249], [0.250, 0.560, 0.095], [0.250, 0.266, 0.991], [0.750, 0.734, 0.009], [0.750, 0.440, 0.905]]}

---

[6]
{"formula": "Nd2TcN4", "functional": "GGA-PBE", "state": "relaxed", "volume_a3_per_cell": 225.19, "de_polymorph_ev_per_fu": 0.00, "e_tot_ev_per_atom": -8.3649, "e_form_raw_ev_per_atom": -0.76, "total_magnetization_mub_per_fu": 0.00, "density_g_cm3": 6.5, "crystal_system": "monoclinic", "lattice": [[5.963, 0.000, 0.031], [0.000, 5.823, 0.000], [-2.158, 0.000, 6.474]], "species": ["N", "Tc", "N", "N", "N", "Nd", "N", "N", "Nd", "Nd", "N", "Nd", "Tc", "N"], "fractional_positions": [[0.941, 0.250, 0.080], [0.230, 0.750, 0.191], [0.542, 0.488, 0.751], [0.458, 0.988, 0.249], [0.059, 0.750, 0.920], [0.688, 0.750, 0.041], [0.046, 0.750, 0.361], [0.954, 0.250, 0.639], [0.244, 0.250, 0.438], [0.756, 0.750, 0.562], [0.458, 0.512, 0.249], [0.312, 0.250, 0.959], [0.770, 0.250, 0.809], [0.542, 0.012, 0.751]]}

---

Q: What is the formula in the fifth record?
A: NdTcN2